(1)
# LiCaSbI2

An optimized crystal structure of LiCaSbI2 (GGA-PBE, Alexandria).

Cell: 6.1340 6.1340 6.2470 Å, 90.00 90.00 90.00°
Last column: magnetic moment on the atom in μB.
Positions (direct):
I (0.5000, 0.0000, 0.0000)  0.08
I (0.0000, 0.5000, 0.0000)  0.08
Ca (0.0000, 0.0000, 0.0000)  0.01
Sb (0.0000, 0.0000, 0.5000)  0.60
Li (0.5000, 0.5000, 0.5000)  0.01

## Properties
As for the relative energy among the computed polymorphs: 14 meV/atom. Its raw total energy is -13.4 eV/cell. As for the space group: No. 123.

(2)
# LiCa2SiI

An optimized crystal structure of LiCa2SiI (GGA-PBE, Alexandria).

Cell: 5.8662 5.5457 5.8662 Å, 90.00 90.00 90.00°
Positions (direct):
Si (0.0000, 0.5000, 0.0000)
I (0.0000, 0.0000, 0.0000)
Li (0.5000, 0.5000, 0.5000)
Ca (0.0000, 0.0000, 0.5000)
Ca (0.5000, 0.0000, 0.0000)

## Properties
Its raw total energy is -11.4 eV/cell. As for the space group: No. 123.

(3)
# LiCaTbI6

An optimized crystal structure of LiCaTbI6 (GGA-PBE, Alexandria).

Cell: 7.7070 7.7070 13.9585 Å, 90.00 90.00 120.00°
Positions (direct):
I (0.3421, 0.0093, 0.1240)
I (0.6672, 0.6579, 0.1240)
I (0.3328, 0.9907, 0.6240)
I (0.3421, 0.3328, 0.3760)
I (0.9907, 0.6579, 0.3760)
I (0.0093, 0.3421, 0.6240)
I (0.3328, 0.3421, 0.8760)
I (0.6579, 0.9907, 0.8760)
I (0.9907, 0.3328, 0.1240)
I (0.0093, 0.6672, 0.8760)
I (0.6579, 0.6672, 0.6240)
I (0.6672, 0.0093, 0.3760)
Ca (0.6667, 0.3333, 0.7500)
Ca (0.3333, 0.6667, 0.2500)
Tb (0.3333, 0.6667, 0.7500)
Tb (0.6667, 0.3333, 0.2500)
Li (0.0000, 0.0000, 0.0000)
Li (0.0000, 0.0000, 0.5000)

## Properties
Its raw total energy is -60.8 eV/cell. As for the space group: No. 163.

(4)
# LiCaTe2I

An optimized crystal structure of LiCaTe2I (GGA-PBE, Alexandria).

Cell: 5.0276 5.0276 6.2026 Å, 90.00 90.00 90.00°
Positions (direct):
Ca (0.5000, 0.5000, 0.5000)
Te (0.5000, 0.0000, 0.0000)
Te (0.0000, 0.5000, 0.0000)
I (0.0000, 0.0000, 0.5000)
Li (0.0000, 0.0000, 0.0000)

## Properties
As for the relative energy among the computed polymorphs: 0 meV/atom. Its raw total energy is -14.8 eV/cell. As for the space group: No. 123.

So what do the calculations give for energy relative to the elements, uncorrected? Going down the list: -459, 297, -1393, -615 meV per atom.
So what do the calculations give for spin magnetization? Going down the list: 2.00, 0.00, 0.00, 0.00 μB per cell.
So what do the calculations give for Fermi-level density of states? Going down the list: 0.251, 0.478, 0.000, 0.391 states/eV/atom.